5
Lattice="4.792 0.000 0.000 0.000 4.792 0.000 0.000 0.000 4.792" Properties=species:S:1:pos:R:3 comment="HfAl3As, optimized geometry, DFT PBE" final_energy_ry_per_atom=-0.3280 formation_enthalpy_0k_ev_per_atom=0.703 m_tot_mub_per_fu=0.00 e_above_lowest_polymorph_ev_per_fu=0.000 space_group="Pm-3m, No. 221" pbc="T T T"
As 0.000 0.000 0.000
Hf 2.396 2.396 2.396
Al 0.000 2.396 0.000
Al 0.000 0.000 2.396
Al 2.396 0.000 0.000


5
Lattice="4.907 0.000 0.000 0.000 4.907 0.000 0.000 0.000 4.907" Properties=species:S:1:pos:R:3 comment="Hf3AlAs, optimized geometry, DFT PBE" final_energy_ry_per_atom=-0.5476 formation_enthalpy_0k_ev_per_atom=0.200 m_tot_mub_per_fu=0.00 e_above_lowest_polymorph_ev_per_fu=2.103 space_group="Pm-3m, No. 221" pbc="T T T"
As 0.000 0.000 0.000
Hf 0.000 2.454 0.000
Hf 0.000 0.000 2.454
Hf 2.454 0.000 0.000
Al 2.454 2.454 2.454